--- 1 ---
CsGdYTe3, relaxed, DFT PBE; SG = No. 63
1.0
2.389 -8.747 0.000
2.389 8.747 0.000
0.000 0.000 11.947
Cs Gd Y Te
2 2 2 6
Cartesian
2.389 4.484 8.960
2.389 -4.484 2.987
2.389 0.000 0.000
2.389 0.000 5.973
2.389 8.151 2.987
2.389 -8.151 8.960
2.389 6.637 0.488
2.389 6.637 5.485
2.389 1.133 2.987
2.389 -1.133 8.960
2.389 -6.637 6.462
2.389 -6.637 11.458

--- 2 ---
CsGdYTe3, relaxed, DFT PBE; SG = No. 63
1.0
2.404 -8.753 0.000
2.404 8.753 0.000
0.000 0.000 11.875
Cs Gd Y Te
2 2 2 6
Cartesian
2.404 4.472 8.906
2.404 -4.472 2.969
2.404 8.187 2.969
2.404 -8.187 8.906
2.404 0.000 0.000
2.404 0.000 5.937
2.404 6.667 0.447
2.404 6.667 5.491
2.404 1.161 2.969
2.404 -1.161 8.906
2.404 -6.667 6.384
2.404 -6.667 11.428

Most stable = 1

--- 1 ---
CsGdTl, relaxed, DFT PBE; SG = No. 216
1.0
7.886 0.000 0.000
0.000 7.886 0.000
0.000 0.000 7.886
Cs Gd Tl
4 4 4
Cartesian
0.000 0.000 0.000
0.000 3.943 3.943
3.943 0.000 3.943
3.943 3.943 0.000
1.972 1.972 5.915
1.972 5.915 1.972
5.915 1.972 1.972
5.915 5.915 5.915
1.972 1.972 1.972
1.972 5.915 5.915
5.915 1.972 5.915
5.915 5.915 1.972

--- 2 ---
CsGdTl, relaxed, DFT PBE; SG = No. 216
1.0
8.151 0.000 0.000
0.000 8.151 0.000
0.000 0.000 8.151
Cs Gd Tl
4 4 4
Cartesian
0.000 0.000 0.000
0.000 4.076 4.076
4.076 0.000 4.076
4.076 4.076 0.000
0.000 0.000 4.076
0.000 4.076 0.000
4.076 0.000 0.000
4.076 4.076 4.076
2.038 2.038 2.038
2.038 6.114 6.114
6.114 2.038 6.114
6.114 6.114 2.038

Most stable = 2

--- 1 ---
CsGdU, relaxed, DFT PBE; SG = No. 216
1.0
8.770 0.000 0.000
0.000 8.770 0.000
0.000 0.000 8.770
Cs Gd U
4 4 4
Cartesian
0.000 0.000 0.000
0.000 4.385 4.385
4.385 0.000 4.385
4.385 4.385 0.000
0.000 0.000 4.385
0.000 4.385 0.000
4.385 0.000 0.000
4.385 4.385 4.385
2.192 2.192 2.192
2.192 6.577 6.577
6.577 2.192 6.577
6.577 6.577 2.192

--- 2 ---
CsGdU, relaxed, DFT PBE; SG = No. 216
1.0
7.554 0.000 0.000
0.000 7.554 0.000
0.000 0.000 7.554
Cs Gd U
4 4 4
Cartesian
0.000 0.000 0.000
0.000 3.777 3.777
3.777 0.000 3.777
3.777 3.777 0.000
1.889 1.889 1.889
1.889 5.666 5.666
5.666 1.889 5.666
5.666 5.666 1.889
1.889 1.889 5.666
1.889 5.666 1.889
5.666 1.889 1.889
5.666 5.666 5.666

Most stable = 1

--- 1 ---
CsHfGe, relaxed, DFT PBE; SG = No. 216
1.0
7.078 0.000 0.000
0.000 7.078 0.000
0.000 0.000 7.078
Cs Hf Ge
4 4 4
Cartesian
0.000 0.000 0.000
0.000 3.539 3.539
3.539 0.000 3.539
3.539 3.539 0.000
1.770 1.770 1.770
1.770 5.309 5.309
5.309 1.770 5.309
5.309 5.309 1.770
0.000 0.000 3.539
0.000 3.539 0.000
3.539 0.000 0.000
3.539 3.539 3.539

--- 2 ---
CsHfGe, relaxed, DFT PBE; SG = No. 216
1.0
7.289 0.000 0.000
0.000 7.289 0.000
0.000 0.000 7.289
Cs Hf Ge
4 4 4
Cartesian
0.000 0.000 0.000
0.000 3.644 3.644
3.644 0.000 3.644
3.644 3.644 0.000
0.000 0.000 3.644
0.000 3.644 0.000
3.644 0.000 0.000
3.644 3.644 3.644
1.822 1.822 1.822
1.822 5.467 5.467
5.467 1.822 5.467
5.467 5.467 1.822

Most stable = 1